Material: Ce3PmSb4
Method: DFT, PBE-GGA
State: relaxed

a b c (Å): 4.501 7.788 7.788
angles (deg): 109.47 90.00 90.00
Each line ends with the local moment (μB).
Fractional coordinates of all 8 atoms:
Sb1 0.500 0.250 0.750  -0.03
Sb2 0.000 0.749 0.749  -0.02
Sb3 0.500 0.750 0.250  -0.03
Sb4 0.000 0.251 0.251  -0.02
Ce1 0.000 0.000 0.500  0.76
Ce2 0.500 0.500 0.500  0.75
Ce3 0.000 0.500 0.000  0.76
Pm1 0.500 0.000 0.000  0.00

Values from the calculation:
- Crystal system: orthorhombic
- Formation energy (no corrections): -1079 meV per atom
- D(E_F): 20.85 states/eV/f.u.
- Excess energy over the best structure of this formula in the dataset: 0 meV per atom